[1]
This record from the Open Quantum Materials Database describes crystalline BaPuPt at its relaxed geometry. The functional is PBE-GGA.

```
data_BaPuPt
_cell_length_a 4.990
_cell_length_b 4.990
_cell_length_c 4.990
_cell_angle_alpha 60.00
_cell_angle_beta 60.00
_cell_angle_gamma 60.00
_symmetry_space_group_name_H-M 'P 1'
_symmetry_Int_Tables_number 1
loop_
_symmetry_equiv_pos_as_xyz
'x,y,z'
loop_
_atom_site_label
_atom_site_fract_x
_atom_site_fract_y
_atom_site_fract_z
Ba1 0.000 0.000 0.000
Pu1 0.250 0.250 0.250
Pt1 0.750 0.750 0.750
```

Output
The calculated total energy is -7.004 eV per atom. Its space group is No. 216. Its energy above the most stable polymorph in this dataset is 328 meV/atom.



[2]
This record from the Open Quantum Materials Database describes crystalline TlCu4As3 at its relaxed geometry. The functional is PBE-GGA.

```
data_TlCu4As3
_cell_length_a 11.373
_cell_length_b 11.373
_cell_length_c 11.373
_cell_angle_alpha 20.05
_cell_angle_beta 20.05
_cell_angle_gamma 20.05
_symmetry_space_group_name_H-M 'P 1'
_symmetry_Int_Tables_number 1
loop_
_symmetry_equiv_pos_as_xyz
'x,y,z'
loop_
_atom_site_label
_atom_site_fract_x
_atom_site_fract_y
_atom_site_fract_z
Tl1 0.000 0.000 0.000
Cu1 0.194 0.194 0.194
Cu2 0.425 0.425 0.425
Cu3 0.575 0.575 0.575
Cu4 0.806 0.806 0.806
As1 0.266 0.266 0.266
As2 0.500 0.500 0.500
As3 0.734 0.734 0.734
```

Output
The calculated total energy is -3.850 eV per atom. Its space group is No. 166.



[3]
This record from the Open Quantum Materials Database describes crystalline Nd2ZnAs2IrO2 at its relaxed geometry. The functional is PBE-GGA.

```
data_Nd2ZnAs2IrO2
_cell_length_a 4.057
_cell_length_b 4.057
_cell_length_c 8.674
_cell_angle_alpha 90.00
_cell_angle_beta 90.00
_cell_angle_gamma 90.00
_symmetry_space_group_name_H-M 'P 1'
_symmetry_Int_Tables_number 1
loop_
_symmetry_equiv_pos_as_xyz
'x,y,z'
loop_
_atom_site_label
_atom_site_fract_x
_atom_site_fract_y
_atom_site_fract_z
Nd1 0.000 0.500 0.136
Nd2 0.500 0.000 0.864
Zn1 0.500 0.500 0.500
As1 0.000 0.500 0.674
As2 0.500 0.000 0.326
Ir1 0.000 0.000 0.500
O1 0.000 0.000 0.000
O2 0.500 0.500 0.000
```

Output
The calculated total energy is -6.543 eV per atom. Its space group is No. 115.



[4]
This record from the Open Quantum Materials Database describes crystalline Tb3Ag4Ge4 at its relaxed geometry. The functional is PBE-GGA.

```
data_Tb3Ag4Ge4
_cell_length_a 8.397
_cell_length_b 8.397
_cell_length_c 8.397
_cell_angle_alpha 149.94
_cell_angle_beta 129.75
_cell_angle_gamma 59.67
_symmetry_space_group_name_H-M 'P 1'
_symmetry_Int_Tables_number 1
loop_
_symmetry_equiv_pos_as_xyz
'x,y,z'
loop_
_atom_site_label
_atom_site_fract_x
_atom_site_fract_y
_atom_site_fract_z
Tb1 0.000 0.000 0.000
Tb2 0.374 0.874 0.500
Tb3 0.626 0.126 0.500
Ag1 0.028 0.331 0.698
Ag2 0.367 0.669 0.698
Ag3 0.633 0.331 0.302
Ag4 0.972 0.669 0.302
Ge1 0.217 0.217 0.000
Ge2 0.316 0.500 0.816
Ge3 0.684 0.500 0.184
Ge4 0.783 0.783 0.000
```

Output
The calculated total energy is -4.505 eV per atom. Its space group is No. 71.



[5]
This record from the Open Quantum Materials Database describes crystalline NbZn2Ag at its relaxed geometry. The functional is PBE-GGA.

```
data_NbZn2Ag
_cell_length_a 4.515
_cell_length_b 4.515
_cell_length_c 4.515
_cell_angle_alpha 60.00
_cell_angle_beta 60.00
_cell_angle_gamma 60.00
_symmetry_space_group_name_H-M 'P 1'
_symmetry_Int_Tables_number 1
loop_
_symmetry_equiv_pos_as_xyz
'x,y,z'
loop_
_atom_site_label
_atom_site_fract_x
_atom_site_fract_y
_atom_site_fract_z
Nb1 0.000 0.000 0.000
Zn1 0.500 0.500 0.500
Zn2 0.750 0.750 0.750
Ag1 0.250 0.250 0.250
```

Output
The value obtained for the formation energy from the elements is 229 meV per atom. The calculated total energy is -3.633 eV per atom. Its space group is No. 216.



[6]
This record from the Open Quantum Materials Database describes crystalline MgRePb2O6 at its relaxed geometry. The functional is PBE-GGA.

```
data_MgRePb2O6
_cell_length_a 5.650
_cell_length_b 5.650
_cell_length_c 5.650
_cell_angle_alpha 120.86
_cell_angle_beta 120.86
_cell_angle_gamma 88.51
_symmetry_space_group_name_H-M 'P 1'
_symmetry_Int_Tables_number 1
loop_
_symmetry_equiv_pos_as_xyz
'x,y,z'
loop_
_atom_site_label
_atom_site_fract_x
_atom_site_fract_y
_atom_site_fract_z
Mg1 0.000 0.000 0.000
Re1 0.500 0.500 0.000
Pb1 0.250 0.750 0.500
Pb2 0.750 0.250 0.500
O1 0.219 0.702 0.920
O2 0.260 0.260 0.000
O3 0.298 0.219 0.517
O4 0.702 0.781 0.483
O5 0.740 0.740 0.000
O6 0.781 0.298 0.080
```

Output
The calculated total energy is -6.728 eV per atom. Its space group is No. 87.



[7]
This record from the Open Quantum Materials Database describes crystalline ErZrAl2Pd4 at its relaxed geometry. The functional is PBE-GGA.

```
data_ErZrAl2Pd4
_cell_length_a 4.334
_cell_length_b 4.334
_cell_length_c 8.857
_cell_angle_alpha 90.00
_cell_angle_beta 90.00
_cell_angle_gamma 120.00
_symmetry_space_group_name_H-M 'P 1'
_symmetry_Int_Tables_number 1
loop_
_symmetry_equiv_pos_as_xyz
'x,y,z'
loop_
_atom_site_label
_atom_site_fract_x
_atom_site_fract_y
_atom_site_fract_z
Er1 0.000 0.000 0.000
Zr1 0.333 0.667 0.500
Al1 0.667 0.333 0.262
Al2 0.667 0.333 0.738
Pd1 0.000 0.000 0.340
Pd2 0.000 0.000 0.660
Pd3 0.333 0.667 0.173
Pd4 0.333 0.667 0.827
```

Output
The calculated total energy is -6.049 eV per atom. Its space group is No. 187.



[8]
This record from the Open Quantum Materials Database describes crystalline Lu4Nb2Sb3C3 at its relaxed geometry. The functional is PBE-GGA.

```
data_Lu4Nb2Sb3C3
_cell_length_a 5.996
_cell_length_b 5.996
_cell_length_c 14.687
_cell_angle_alpha 101.64
_cell_angle_beta 101.64
_cell_angle_gamma 60.24
_symmetry_space_group_name_H-M 'P 1'
_symmetry_Int_Tables_number 1
loop_
_symmetry_equiv_pos_as_xyz
'x,y,z'
loop_
_atom_site_label
_atom_site_fract_x
_atom_site_fract_y
_atom_site_fract_z
Lu1 0.037 0.189 0.090
Lu2 0.128 0.303 0.410
Lu3 0.189 0.037 0.590
Lu4 0.303 0.128 0.910
Lu5 0.697 0.872 0.090
Lu6 0.811 0.963 0.410
Lu7 0.872 0.697 0.590
Lu8 0.963 0.811 0.910
Nb1 0.352 0.524 0.077
Nb2 0.476 0.648 0.423
Nb3 0.524 0.352 0.577
Nb4 0.648 0.476 0.923
Sb1 0.116 0.884 0.250
Sb2 0.276 0.415 0.751
Sb3 0.415 0.276 0.251
Sb4 0.585 0.724 0.749
Sb5 0.724 0.585 0.249
Sb6 0.884 0.116 0.750
C1 0.000 0.500 0.000
C2 0.188 0.656 0.500
C3 0.344 0.812 0.000
C4 0.500 0.000 0.500
C5 0.656 0.188 0.000
C6 0.812 0.344 0.500
```

Output
The calculated total energy is -7.128 eV per atom. Its space group is No. 15.



[9]
This record from the Open Quantum Materials Database describes crystalline NdHoNO at its relaxed geometry. The functional is PBE-GGA.

```
data_NdHoNO
_cell_length_a 8.189
_cell_length_b 6.748
_cell_length_c 5.019
_cell_angle_alpha 90.00
_cell_angle_beta 90.00
_cell_angle_gamma 90.00
_symmetry_space_group_name_H-M 'P 1'
_symmetry_Int_Tables_number 1
loop_
_symmetry_equiv_pos_as_xyz
'x,y,z'
loop_
_atom_site_label
_atom_site_fract_x
_atom_site_fract_y
_atom_site_fract_z
Nd1 0.126 0.068 0.250
Nd2 0.126 0.432 0.750
Nd3 0.874 0.568 0.250
Nd4 0.874 0.932 0.750
Ho1 0.378 0.585 0.250
Ho2 0.378 0.915 0.750
Ho3 0.622 0.085 0.250
Ho4 0.622 0.415 0.750
N1 0.384 0.580 0.750
N2 0.384 0.920 0.250
N3 0.616 0.080 0.750
N4 0.616 0.420 0.250
O1 0.145 0.086 0.750
O2 0.145 0.414 0.250
O3 0.855 0.586 0.750
O4 0.855 0.914 0.250
```

Output
The calculated total energy is -7.793 eV per atom. Its space group is No. 57. Its energy above the most stable polymorph in this dataset is 16 meV/atom.



[10]
This record from the Open Quantum Materials Database describes crystalline Ho2Al4NiPt at its relaxed geometry. The functional is PBE-GGA.

```
data_Ho2Al4NiPt
_cell_length_a 6.963
_cell_length_b 5.503
_cell_length_c 5.503
_cell_angle_alpha 44.21
_cell_angle_beta 90.00
_cell_angle_gamma 90.00
_symmetry_space_group_name_H-M 'P 1'
_symmetry_Int_Tables_number 1
loop_
_symmetry_equiv_pos_as_xyz
'x,y,z'
loop_
_atom_site_label
_atom_site_fract_x
_atom_site_fract_y
_atom_site_fract_z
Ho1 0.000 0.000 0.000
Ho2 0.500 0.129 0.129
Al1 0.205 0.719 0.719
Al2 0.311 0.416 0.416
Al3 0.689 0.416 0.416
Al4 0.795 0.719 0.719
Ni1 0.500 0.853 0.853
Pt1 0.000 0.282 0.282
```

Output
The calculated total energy is -5.283 eV per atom. Its space group is No. 38.



[11]
This record from the Open Quantum Materials Database describes crystalline UTlSb at its relaxed geometry. The functional is PBE-GGA.

```
data_UTlSb
_cell_length_a 5.159
_cell_length_b 5.159
_cell_length_c 5.159
_cell_angle_alpha 60.00
_cell_angle_beta 60.00
_cell_angle_gamma 60.00
_symmetry_space_group_name_H-M 'P 1'
_symmetry_Int_Tables_number 1
loop_
_symmetry_equiv_pos_as_xyz
'x,y,z'
loop_
_atom_site_label
_atom_site_fract_x
_atom_site_fract_y
_atom_site_fract_z
U1 0.000 0.000 0.000
Tl1 0.250 0.250 0.250
Sb1 0.750 0.750 0.750
```

Output
The calculated total energy is -5.585 eV per atom. Its space group is No. 216. Its energy above the most stable polymorph in this dataset is 0 meV/atom.



[12]
This record from the Open Quantum Materials Database describes crystalline TbPr3Al at its relaxed geometry. The functional is PBE-GGA.

```
data_TbPr3Al
_cell_length_a 16.327
_cell_length_b 16.327
_cell_length_c 3.603
_cell_angle_alpha 90.00
_cell_angle_beta 90.00
_cell_angle_gamma 160.81
_symmetry_space_group_name_H-M 'P 1'
_symmetry_Int_Tables_number 1
loop_
_symmetry_equiv_pos_as_xyz
'x,y,z'
loop_
_atom_site_label
_atom_site_fract_x
_atom_site_fract_y
_atom_site_fract_z
Tb1 0.163 0.837 0.000
Tb2 0.837 0.163 0.000
Pr1 0.063 0.937 0.500
Pr2 0.274 0.726 0.500
Pr3 0.451 0.549 0.000
Pr4 0.549 0.451 0.000
Pr5 0.726 0.274 0.500
Pr6 0.937 0.063 0.500
Al1 0.370 0.630 0.500
Al2 0.630 0.370 0.500
```

Output
The calculated total energy is -4.468 eV per atom. Its space group is No. 65.